{
  "formula": "FeAsSe2O",
  "functional": "GGA+U",
  "state": "relaxed",
  "lattice_angstrom": [[4.771, 0.000, 0.000], [0.000, 4.771, 0.000], [0.000, 0.000, 4.771]],
  "species": ["Fe", "As", "Se", "Se", "O"],
  "frac_coords": [[0.000, 0.000, 0.000], [0.000, 0.000, 0.500], [0.000, 0.500, 0.000], [0.500, 0.000, 0.000], [0.500, 0.500, 0.500]],
  "de_polymorph_kj_per_mol_fu": 252,
  "spacegroup": "P4/mmm",
  "magmom_total_mub_per_cell": 2.088
}